# 1
Here is an optimized crystal structure of CsCrIn2 from Alexandria. Energies are from PBE.

Its spin magnetization is 4.17 μB per formula unit. The electronic total energy comes out at -3.508 eV per atom. The value obtained for the formation energy is 0.481 eV/atom. For the energy above the most stable polymorph in this dataset, the calculation gives 0.000 eV/atom.

The space group is I4_1/amd (No. 141, origin choice 2) and the conventional cell measures 6.1506, 6.1506 and 18.3801 Å, with angles of 90.00, 90.00 and 90.00 degrees. Symmetry generates all atoms from Cs at (0.0000, 0.2500, 0.3750), Cr at (0.0000, 0.2500, 0.8750) and In at (0.0000, 0.0000, 0.0000).

***

# 2
Here is an optimized crystal structure of Ti3Ge4Mo from Alexandria. Energies are from PBE.

Its spin magnetization is 0.00 μB per formula unit. The electronic total energy comes out at -6.603 eV per atom. The value obtained for the formation energy is 0.020 eV/atom.

The space group is Pmmn (No. 59, origin choice 2) and the conventional cell measures 5.0380, 8.3752 and 8.0091 Å, with angles of 90.00, 90.00 and 90.00 degrees. Symmetry generates all atoms from Ti at (0.2500, 0.0036, 0.1619), Ti at (0.2500, 0.2500, 0.6588), Ge at (0.2500, 0.2500, 0.3452), Ge at (0.2500, 0.5035, 0.8425), Ge at (0.2500, 0.7500, 0.3453) and Mo at (0.2500, 0.7500, 0.6618).